No. 1
## NdUZn17 (PBE)

Data for a relaxed structure of NdUZn17.

Values from the calculation:
SG: R3m
E in eV for the cell shown: -40.6

Structure (POSCAR):
```
NdUZn17
1.0
6.767 0.027 0.829
0.737 6.727 0.829
0.030 0.027 6.818
Nd U Zn
1 1 17
direct
0.663 0.663 0.663 Nd
0.335 0.335 0.335 U
0.294 0.001 0.704 Zn
0.704 0.294 0.001 Zn
0.001 0.704 0.294 Zn
0.294 0.704 0.001 Zn
0.001 0.294 0.704 Zn
0.704 0.001 0.294 Zn
0.350 0.843 0.350 Zn
0.350 0.350 0.843 Zn
0.843 0.350 0.350 Zn
0.645 0.165 0.645 Zn
0.645 0.645 0.165 Zn
0.165 0.645 0.645 Zn
0.000 0.501 0.000 Zn
0.000 0.000 0.501 Zn
0.501 0.000 0.000 Zn
0.902 0.902 0.902 Zn
0.102 0.102 0.102 Zn
```

***

No. 2
## NdUZn4 (PBE)

Data for a relaxed structure of NdUZn4.

Values from the calculation:
SG: F-43m
E in eV for the cell shown: -21.4

Structure (POSCAR):
```
NdUZn4
1.0
5.500 0.000 0.000
2.750 4.763 0.000
2.750 1.588 4.491
Nd Zn U
1 4 1
direct
0.250 0.250 0.250 Nd
0.625 0.625 0.124 Zn
0.625 0.124 0.625 Zn
0.625 0.625 0.625 Zn
0.124 0.625 0.625 Zn
0.000 0.000 0.000 U
```

***

No. 3
## NdZr2U (PBE)

Data for a relaxed structure of NdZr2U.

Values from the calculation:
SG: R-3m
E in eV for the cell shown: -31.5

Structure (POSCAR):
```
NdZr2U
1.0
3.204 0.000 0.000
1.602 2.775 0.000
1.602 0.925 11.663
Nd U Zr
1 1 2
direct
0.000 0.000 0.000 Nd
0.500 0.500 0.500 U
0.092 0.092 0.725 Zr
0.908 0.908 0.275 Zr
```

***

No. 4
## Nd4V (PBE)

Data for a relaxed structure of Nd4V.

Values from the calculation:
SG: Pm-3m
E in eV for the cell shown: -25.9

Structure (POSCAR):
```
Nd4V
1.0
5.519 0.000 0.000
0.000 5.519 0.000
0.000 0.000 5.519
Nd V
4 1
direct
0.000 0.000 0.000 Nd
0.500 0.000 0.500 Nd
0.000 0.500 0.500 Nd
0.500 0.500 0.000 Nd
0.500 0.500 0.500 V
```

***

No. 5
## NdV3 (PBE)

Data for a relaxed structure of NdV3.

Values from the calculation:
SG: Pmm2
E in eV for the cell shown: -29.8

Structure (POSCAR):
```
NdV3
1.0
2.986 0.000 0.000
0.000 4.082 0.000
0.000 0.000 6.381
Nd V
1 3
direct
0.000 0.500 0.311 Nd
0.000 0.000 0.924 V
0.500 0.000 0.610 V
0.500 0.500 0.822 V
```

***

No. 6
## Nd2YV (PBE)

Data for a relaxed structure of Nd2YV.

Values from the calculation:
SG: R-3m
E in eV for the cell shown: -22.6

Structure (POSCAR):
```
Nd2YV
1.0
-1.587 -0.344 3.047
1.862 -0.304 2.891
0.016 11.399 3.252
Y Nd V
1 2 1
direct
0.500 0.500 0.500 Y
0.081 0.081 0.757 Nd
0.919 0.919 0.243 Nd
0.000 0.000 0.000 V
```

***

No. 7
## NdYV (PBE)

Data for a relaxed structure of NdYV.

Values from the calculation:
SG: P4/nmm
E in eV for the cell shown: -37.5

Structure (POSCAR):
```
NdYV
1.0
-2.347 3.972 0.729
-3.692 -1.768 -2.249
-2.675 -2.789 6.584
V Y Nd
2 2 2
direct
0.000 0.000 0.000 V
0.500 0.500 0.000 V
0.000 0.500 0.742 Y
0.500 0.000 0.258 Y
0.000 0.500 0.261 Nd
0.500 0.000 0.739 Nd
```

***

No. 8
## NdVZn4 (PBE)

Data for a relaxed structure of NdVZn4.

Values from the calculation:
SG: F-43m
E in eV for the cell shown: -19.7

Structure (POSCAR):
```
NdVZn4
1.0
5.312 0.000 0.000
2.656 4.600 0.000
2.656 1.533 4.337
Zn Nd V
4 1 1
direct
0.624 0.624 0.128 Zn
0.624 0.128 0.624 Zn
0.624 0.624 0.624 Zn
0.128 0.624 0.624 Zn
0.000 0.000 0.000 Nd
0.250 0.250 0.250 V
```

***

No. 9
## NdZrV4 (PBE)

Data for a relaxed structure of NdZrV4.

Values from the calculation:
SG: F-43m
E in eV for the cell shown: -48.2

Structure (POSCAR):
```
NdZrV4
1.0
-0.399 -4.130 -3.301
4.344 -2.687 -1.421
0.781 -4.923 1.806
Nd Zr V
1 1 4
direct
0.000 0.000 0.000 Nd
0.250 0.250 0.250 Zr
0.623 0.623 0.130 V
0.623 0.130 0.623 V
0.623 0.623 0.623 V
0.130 0.623 0.623 V
```

***

No. 10
## Nd4W (PBE)

Data for a relaxed structure of Nd4W.

Values from the calculation:
SG: Pm-3m
E in eV for the cell shown: -29.3

Structure (POSCAR):
```
Nd4W
1.0
-5.477 -0.982 0.913
0.521 -5.097 -2.355
1.235 -2.203 5.042
Nd W
4 1
direct
0.000 0.000 0.000 Nd
0.500 0.000 0.500 Nd
0.000 0.500 0.500 Nd
0.500 0.500 0.000 Nd
0.500 0.500 0.500 W
```

***

No. 11
## NdW4 (PBE)

Data for a relaxed structure of NdW4.

Values from the calculation:
SG: Pm-3m
E in eV for the cell shown: -39.1

Structure (POSCAR):
```
NdW4
1.0
4.785 0.000 0.000
0.000 4.785 0.000
0.000 0.000 4.785
Nd W
1 4
direct
0.500 0.500 0.500 Nd
0.000 0.000 0.000 W
0.500 0.000 0.500 W
0.000 0.500 0.500 W
0.500 0.500 0.000 W
```

***

No. 12
## Nd2ZnW (PBE)

Data for a relaxed structure of Nd2ZnW.

Values from the calculation:
SG: R-3m
E in eV for the cell shown: -20.5

Structure (POSCAR):
```
Nd2ZnW
1.0
-2.128 2.218 -0.673
-2.278 0.673 2.064
5.102 8.703 5.193
Zn Nd W
1 2 1
direct
0.500 0.500 0.500 Zn
0.087 0.087 0.739 Nd
0.913 0.913 0.261 Nd
0.000 0.000 0.000 W
```

***

No. 13
## Nd2Y7 (PBE)

Data for a relaxed structure of Nd2Y7.

Values from the calculation:
SG: P-62m
Energy above the lowest structure with this stoichiometry in meV per atom: 16

Structure (POSCAR):
```
Nd2Y7
1.0
3.605 0.000 0.000
0.000 9.781 0.000
0.000 -4.890 8.470
Nd Y
2 7
direct
0.000 0.667 0.333 Nd
0.000 0.333 0.667 Nd
0.500 0.643 0.000 Y
0.500 0.000 0.643 Y
0.500 0.357 0.357 Y
0.000 0.305 0.000 Y
0.000 0.000 0.305 Y
0.000 0.695 0.695 Y
0.500 0.000 0.000 Y
```

***

No. 14
## NdY8 (PBE)

Data for a relaxed structure of NdY8.

Values from the calculation:
SG: I4/mmm
E in eV for the cell shown: -56.3

Structure (POSCAR):
```
NdY8
1.0
5.059 0.000 0.000
2.529 7.607 0.000
2.529 0.000 7.607
Nd Y
1 8
direct
0.000 0.000 0.000 Nd
0.333 0.000 0.334 Y
0.667 0.000 0.666 Y
0.667 0.666 0.000 Y
0.000 0.666 0.334 Y
0.334 0.666 0.666 Y
0.666 0.334 0.334 Y
0.000 0.334 0.666 Y
0.333 0.334 0.000 Y
```

***

No. 15
## Nd6Y (PBE)

Data for a relaxed structure of Nd6Y.

Values from the calculation:
SG: Im-3m
E in eV for the cell shown: -26.5

Structure (POSCAR):
```
Nd6Y
1.0
7.106 0.000 0.000
-2.369 6.700 0.000
-2.369 -3.350 5.802
Nd Y
6 1
direct
0.250 0.750 0.500 Nd
0.500 0.750 0.250 Nd
0.250 0.500 0.750 Nd
0.750 0.250 0.500 Nd
0.500 0.250 0.750 Nd
0.750 0.500 0.250 Nd
0.000 0.000 0.000 Y
```

***

No. 16
## Nd2Y (PBE)

Data for a relaxed structure of Nd2Y.

Values from the calculation:
SG: I4_1/amd
Energy above the lowest structure with this stoichiometry in meV per atom: 117

Structure (POSCAR):
```
Nd2Y
1.0
3.528 0.000 0.000
0.000 3.528 0.000
-1.764 -1.764 16.866
Nd Y
4 2
direct
0.578 0.578 0.157 Nd
0.672 0.172 0.343 Nd
0.422 0.422 0.843 Nd
0.828 0.328 0.657 Nd
0.000 0.000 0.000 Y
0.250 0.750 0.500 Y
```

***

No. 17
## Nd3Y8 (PBE)

Data for a relaxed structure of Nd3Y8.

Values from the calculation:
SG: R-3
Energy above the lowest structure with this stoichiometry in meV per atom: 529

Structure (POSCAR):
```
Nd3Y8
1.0
-3.638 -3.223 -5.290
-2.197 -5.329 4.288
-6.110 3.392 1.665
Nd Y
3 8
direct
0.500 0.000 0.500 Nd
0.000 0.500 0.500 Nd
0.500 0.500 0.000 Nd
0.893 0.304 0.138 Y
0.304 0.138 0.893 Y
0.138 0.893 0.304 Y
0.371 0.371 0.371 Y
0.629 0.629 0.629 Y
0.862 0.107 0.696 Y
0.696 0.862 0.107 Y
0.107 0.696 0.862 Y
```

***

No. 18
## Nd3Y2 (PBE)

Data for a relaxed structure of Nd3Y2.

Values from the calculation:
SG: C2/m
E in eV for the cell shown: -52.4

Structure (POSCAR):
```
Nd3Y2
1.0
8.948 1.145 0.000
6.530 6.423 0.000
3.265 3.211 7.039
Nd Y
6 4
direct
0.586 0.624 0.000 Nd
0.414 0.376 0.000 Nd
0.168 0.352 0.750 Nd
0.832 0.898 0.750 Nd
0.168 0.102 0.250 Nd
0.832 0.648 0.250 Nd
0.000 0.878 0.244 Y
0.000 0.122 0.756 Y
0.500 0.500 0.500 Y
0.500 0.000 0.500 Y
```

***

No. 19
## Nd13Y2 (PBE)

Data for a relaxed structure of Nd13Y2.

Values from the calculation:
SG: R-3m
Energy above the lowest structure with this stoichiometry in meV per atom: 428

Structure (POSCAR):
```
Nd13Y2
1.0
-0.640 3.054 8.815
0.297 -6.089 7.091
8.249 -0.217 5.634
Nd Y
13 2
direct
0.500 0.500 0.500 Nd
0.487 0.855 0.171 Nd
0.487 0.487 0.171 Nd
0.855 0.487 0.171 Nd
0.145 0.513 0.829 Nd
0.513 0.145 0.829 Nd
0.513 0.513 0.829 Nd
0.261 0.894 0.585 Nd
0.261 0.261 0.585 Nd
0.894 0.261 0.585 Nd
0.106 0.739 0.415 Nd
0.739 0.106 0.415 Nd
0.739 0.739 0.415 Nd
0.259 0.259 0.223 Y
0.741 0.741 0.777 Y
```

***

No. 20
## Nd4Y (PBE)

Data for a relaxed structure of Nd4Y.

Values from the calculation:
SG: Pm-3m
Energy above the lowest structure with this stoichiometry in meV per atom: 650

Structure (POSCAR):
```
Nd4Y
1.0
5.846 0.000 0.000
0.000 5.846 0.000
0.000 0.000 5.846
Y Nd
1 4
direct
0.500 0.500 0.500 Y
0.000 0.000 0.000 Nd
0.500 0.000 0.500 Nd
0.000 0.500 0.500 Nd
0.500 0.500 0.000 Nd
```